## SmDy2SnN4 (PBE-GGA)

Data for crystalline SmDy2SnN4 at its relaxed geometry.

Cell: 3.488 6.172 12.163 Å, 90.00 90.00 106.41°
Atoms (fractional coordinates):
Sm  0.131  0.262  0.750
Sm  0.869  0.738  0.250
Dy  0.370  0.741  0.531
Dy  0.630  0.259  0.031
Dy  0.630  0.259  0.469
Dy  0.370  0.741  0.969
Sn  0.864  0.729  0.750
Sn  0.136  0.271  0.250
N  0.260  0.520  0.123
N  0.740  0.480  0.623
N  0.740  0.480  0.877
N  0.260  0.520  0.377
N  0.000  0.000  0.500
N  0.000  0.000  0.000
N  0.469  0.938  0.750
N  0.531  0.062  0.250

Formation energy from raw total energies, eV/atom: -0.878
Electronic total energy, eV/f.u.: -58.3
N(E_F), states/eV/cell: 5.344

## SmDyTaN3 (PBE-GGA)

Data for crystalline SmDyTaN3 at its relaxed geometry.

Cell: 3.442 7.337 7.916 Å, 91.53 90.00 90.00°
Atoms (fractional coordinates):
Sm  0.750  0.849  0.841
Sm  0.250  0.151  0.159
Dy  0.250  0.608  0.154
Dy  0.750  0.392  0.846
Ta  0.250  0.124  0.581
Ta  0.750  0.876  0.419
N  0.250  0.826  0.547
N  0.750  0.866  0.165
N  0.750  0.385  0.124
N  0.750  0.174  0.453
N  0.250  0.615  0.876
N  0.250  0.134  0.835

Formation energy from raw total energies, eV/atom: -1.107
Electronic total energy, eV/f.u.: -52.8
N(E_F), states/eV/cell: 4.141

## TbSmDy2N4 (PBE-GGA)

Data for crystalline TbSmDy2N4 at its relaxed geometry.

Cell: 3.509 6.076 6.077 Å, 109.44 90.00 90.00°
Atoms (fractional coordinates):
Tb  0.000  0.000  0.000
Sm  0.500  0.500  0.000
Dy  0.500  0.000  0.500
Dy  0.000  0.500  0.500
N  0.500  0.249  0.253
N  0.500  0.751  0.747
N  0.000  0.246  0.745
N  0.000  0.754  0.255

Formation energy from raw total energies, eV/atom: -1.632
Electronic total energy, eV/f.u.: -64.9
N(E_F), states/eV/cell: 0.221

## TbSm2DyN4 (PBE-GGA)

Data for crystalline TbSm2DyN4 at its relaxed geometry.

Cell: 3.538 6.124 6.127 Å, 109.43 90.00 90.00°
Atoms (fractional coordinates):
Tb  0.000  0.000  0.000
Sm  0.500  0.000  0.500
Sm  0.000  0.500  0.500
Dy  0.500  0.500  0.000
N  0.500  0.249  0.244
N  0.500  0.751  0.756
N  0.000  0.253  0.756
N  0.000  0.747  0.244

Formation energy from raw total energies, eV/atom: -1.576
Electronic total energy, eV/f.u.: -64.6
N(E_F), states/eV/cell: 0.234

## TbSmDyN3 (PBE-GGA)

Data for crystalline TbSmDyN3 at its relaxed geometry.

Cell: 3.486 6.042 9.096 Å, 101.41 90.00 90.00°
Atoms (fractional coordinates):
Tb  0.250  0.769  0.045
Tb  0.750  0.231  0.955
Sm  0.750  0.658  0.699
Sm  0.250  0.342  0.301
Dy  0.250  0.153  0.638
Dy  0.750  0.847  0.362
N  0.250  0.752  0.497
N  0.750  0.035  0.155
N  0.750  0.537  0.170
N  0.750  0.248  0.503
N  0.250  0.463  0.830
N  0.250  0.965  0.845

Formation energy from raw total energies, eV/atom: -1.412
Electronic total energy, eV/f.u.: -47.4

## Tb2SmDyN4 (PBE-GGA)

Data for crystalline Tb2SmDyN4 at its relaxed geometry.

Cell: 3.516 6.088 6.087 Å, 109.44 90.00 90.00°
Atoms (fractional coordinates):
Tb  0.500  0.000  0.500
Tb  0.000  0.500  0.500
Sm  0.500  0.500  0.000
Dy  0.000  0.000  0.000
N  0.500  0.247  0.251
N  0.500  0.753  0.749
N  0.000  0.246  0.747
N  0.000  0.754  0.253

Formation energy from raw total energies, eV/atom: -1.621
Electronic total energy, eV/f.u.: -64.9
N(E_F), states/eV/cell: 0.226

## SmDy2TcN4 (PBE-GGA)

Data for crystalline SmDy2TcN4 at its relaxed geometry.

Cell: 3.445 6.086 11.604 Å, 90.00 90.00 106.44°
Atoms (fractional coordinates):
Sm  0.126  0.252  0.750
Sm  0.874  0.748  0.250
Dy  0.369  0.737  0.540
Dy  0.631  0.263  0.040
Dy  0.631  0.263  0.460
Dy  0.369  0.737  0.960
Tc  0.861  0.723  0.750
Tc  0.139  0.277  0.250
N  0.264  0.528  0.129
N  0.736  0.472  0.629
N  0.736  0.472  0.871
N  0.264  0.528  0.371
N  0.000  0.000  0.500
N  0.000  0.000  0.000
N  0.443  0.886  0.750
N  0.557  0.114  0.250

Formation energy from raw total energies, eV/atom: -1.089
Electronic total energy, eV/f.u.: -66.3
N(E_F), states/eV/cell: 3.140

## Sm2DyTcN4 (PBE-GGA)

Data for crystalline Sm2DyTcN4 at its relaxed geometry.

Cell: 3.452 6.154 11.894 Å, 90.00 90.00 106.29°
Atoms (fractional coordinates):
Sm  0.368  0.736  0.540
Sm  0.632  0.264  0.040
Sm  0.632  0.264  0.460
Sm  0.368  0.736  0.960
Dy  0.133  0.266  0.750
Dy  0.867  0.734  0.250
Tc  0.863  0.726  0.750
Tc  0.137  0.274  0.250
N  0.267  0.535  0.136
N  0.733  0.465  0.636
N  0.733  0.465  0.864
N  0.267  0.535  0.364
N  0.000  0.000  0.500
N  0.000  0.000  0.000
N  0.444  0.887  0.750
N  0.556  0.113  0.250

Formation energy from raw total energies, eV/atom: -0.964
Electronic total energy, eV/f.u.: -65.4
N(E_F), states/eV/cell: 3.616